This record from Alexandria describes a relaxed CaCu4Sn4 crystal. The functional is PBE.

Total magnetization = 0.0 μB per formula unit
Calculated formation energy = -0.04 eV/atom
Fermi-level density of states = 8.73 states/eV/cell

a = 5.4027 Å, b = 8.6833 Å, c = 8.6833 Å
α = 90.00°, β = 90.00°, γ = 90.00°
Atoms (fractional coordinates):
Sn  0.1080  0.8524  0.3744
Sn  0.8920  0.6256  0.8524
Sn  0.6080  0.8744  0.6476
Sn  0.8920  0.3744  0.1476
Sn  0.6080  0.1256  0.3524
Sn  0.1080  0.1476  0.6256
Sn  0.3920  0.6476  0.1256
Sn  0.3920  0.3524  0.8744
Cu  0.6099  0.8181  0.3427
Cu  0.1099  0.8427  0.6819
Cu  0.8901  0.3181  0.8427
Cu  0.3901  0.3427  0.1819
Cu  0.8901  0.6819  0.1573
Cu  0.1099  0.1573  0.3181
Cu  0.3901  0.6573  0.8181
Cu  0.6099  0.1819  0.6573
Ca  0.5000  0.5000  0.5000
Ca  0.0000  0.0000  0.0000